# AcSmNi2P2 PBE-GGA optimized geometry
# Energy relative to the elements in eV per atom: -1.118
# D(E_F) in states/eV/atom: 0.4608
# Total moment in μB/f.u.: 0.0
data_AcSmNi2P2
_cell_length_a 4.0116
_cell_length_b 4.0116
_cell_length_c 8.2892
_cell_angle_alpha 90.00
_cell_angle_beta 90.00
_cell_angle_gamma 120.00
_symmetry_space_group_name_H-M 'P 1'
_symmetry_Int_Tables_number 1
loop_
_symmetry_equiv_pos_as_xyz
'x,y,z'
loop_
_atom_site_label
_atom_site_fract_x
_atom_site_fract_y
_atom_site_fract_z
Ac1 0.0000 0.0000 0.0000
Sm1 0.0000 0.0000 0.5000
Ni1 0.3333 0.6667 0.7395
Ni2 0.6667 0.3333 0.2605
P1 0.3333 0.6667 0.2691
P2 0.6667 0.3333 0.7309